# GGA-PBE Pr3SmSe6, relaxed
# Space-group type = R-3, No. 148
# Energy above the lowest structure with this stoichiometry = 0.31 eV per formula unit
# ΔE_f (raw) = -1.83 eV/atom
data_Pr3SmSe6
_space_group_name_H-M_alt 'P 1'
_space_group_IT_number 1
_cell_length_a 8.650
_cell_length_b 8.650
_cell_length_c 8.650
_cell_angle_alpha 99.08
_cell_angle_beta 99.08
_cell_angle_gamma 99.08
loop_
_space_group_symop_operation_xyz
'x,y,z'
loop_
_atom_site_label
_atom_site_fract_x
_atom_site_fract_y
_atom_site_fract_z
Pr1 0.116 0.285 0.624
Pr2 0.285 0.624 0.116
Pr3 0.376 0.884 0.715
Pr4 0.624 0.116 0.285
Pr5 0.715 0.376 0.884
Pr6 0.884 0.715 0.376
Sm1 0.000 0.000 0.000
Sm2 0.500 0.500 0.500
Se1 0.049 0.934 0.676
Se2 0.066 0.324 0.951
Se3 0.182 0.565 0.424
Se4 0.324 0.951 0.066
Se5 0.424 0.182 0.565
Se6 0.435 0.576 0.818
Se7 0.565 0.424 0.182
Se8 0.576 0.818 0.435
Se9 0.676 0.049 0.934
Se10 0.818 0.435 0.576
Se11 0.934 0.676 0.049
Se12 0.951 0.066 0.324



# GGA-PBE KNa3Sr2, relaxed
# Space-group type = P4/mmm, No. 123
# ΔE_f = 0.16 eV/f.u.
data_KNa3Sr2
_space_group_name_H-M_alt 'P 1'
_space_group_IT_number 1
_cell_length_a 4.512
_cell_length_b 4.512
_cell_length_c 14.141
_cell_angle_alpha 90.00
_cell_angle_beta 90.00
_cell_angle_gamma 90.00
loop_
_space_group_symop_operation_xyz
'x,y,z'
loop_
_atom_site_label
_atom_site_fract_x
_atom_site_fract_y
_atom_site_fract_z
K1 0.000 0.000 0.000
Na1 0.500 0.500 0.181
Na2 0.500 0.500 0.500
Na3 0.500 0.500 0.819
Sr1 0.000 0.000 0.344
Sr2 0.000 0.000 0.656



# GGA-PBE Hf6Th4O19, relaxed
# Space-group type = I23, No. 197
# ΔE_f (raw) = -3.40 eV/atom
data_Hf6Th4O19
_space_group_name_H-M_alt 'P 1'
_space_group_IT_number 1
_cell_length_a 8.155
_cell_length_b 8.155
_cell_length_c 8.155
_cell_angle_alpha 109.47
_cell_angle_beta 109.47
_cell_angle_gamma 109.47
loop_
_space_group_symop_operation_xyz
'x,y,z'
loop_
_atom_site_label
_atom_site_fract_x
_atom_site_fract_y
_atom_site_fract_z
Hf1 0.161 0.661 0.500
Hf2 0.339 0.500 0.839
Hf3 0.500 0.161 0.661
Hf4 0.500 0.839 0.339
Hf5 0.661 0.500 0.161
Hf6 0.839 0.339 0.500
Th1 0.000 0.000 0.701
Th2 0.000 0.701 0.000
Th3 0.299 0.299 0.299
Th4 0.701 0.000 0.000
O1 0.000 0.000 0.000
O2 0.000 0.333 0.333
O3 0.000 0.667 0.667
O4 0.037 0.271 0.663
O5 0.234 0.963 0.626
O6 0.271 0.663 0.037
O7 0.333 0.000 0.333
O8 0.333 0.333 0.000
O9 0.337 0.608 0.374
O10 0.374 0.337 0.608
O11 0.392 0.729 0.766
O12 0.608 0.374 0.337
O13 0.626 0.234 0.963
O14 0.663 0.037 0.271
O15 0.667 0.000 0.667
O16 0.667 0.667 0.000
O17 0.729 0.766 0.392
O18 0.766 0.392 0.729
O19 0.963 0.626 0.234